No. 1
# TaAgRuRh PBE relaxed
# - Size of the total moment: 0.00 Bohr magnetons per cell
# - Formation enthalpy at 0 K: -0.060 eV/atom
data_TaAgRuRh
_cell_length_a 4.4684
_cell_length_b 4.4684
_cell_length_c 4.4684
_cell_angle_alpha 60.00
_cell_angle_beta 60.00
_cell_angle_gamma 60.00
_space_group_name_H-M_alt 'P 1'
_space_group_IT_number 1
loop_
_space_group_symop_operation_xyz
'x,y,z'
loop_
_atom_site_label
_atom_site_type_symbol
_atom_site_fract_x
_atom_site_fract_y
_atom_site_fract_z
Ru1 Ru 0.2500 0.2500 0.2500
Rh1 Rh 0.7500 0.7500 0.7500
Ag1 Ag 0.0000 0.0000 0.0000
Ta1 Ta 0.5000 0.5000 0.5000

=====

No. 2
# PuTeAu PBE relaxed
# - Size of the total moment: 11.00 Bohr magnetons per cell
# - ΔE_f (raw): -0.507 eV per atom
data_PuTeAu
_cell_length_a 5.0777
_cell_length_b 4.0378
_cell_length_c 9.3330
_cell_angle_alpha 102.49
_cell_angle_beta 105.79
_cell_angle_gamma 90.00
_space_group_name_H-M_alt 'P 1'
_space_group_IT_number 1
loop_
_space_group_symop_operation_xyz
'x,y,z'
loop_
_atom_site_label
_atom_site_type_symbol
_atom_site_fract_x
_atom_site_fract_y
_atom_site_fract_z
Te1 Te 0.6636 0.1636 0.3271
Te2 Te 0.3364 0.8364 0.6729
Au1 Au 0.7480 0.5000 0.0000
Au2 Au 0.2520 0.5000 0.0000
Pu1 Pu 0.1575 0.6575 0.3150
Pu2 Pu 0.8425 0.3425 0.6850

=====

No. 3
# OsSe2NCl PBE relaxed
# - Polymorph energy (0 for the lowest one): 7.456 eV/f.u.
# - Size of the total moment: 0.00 Bohr magnetons per cell
# - ΔE_f (raw): 2.034 eV per atom
data_OsSe2NCl
_cell_length_a 4.9458
_cell_length_b 4.9458
_cell_length_c 3.2669
_cell_angle_alpha 90.00
_cell_angle_beta 90.00
_cell_angle_gamma 90.00
_space_group_name_H-M_alt 'P 1'
_space_group_IT_number 1
loop_
_space_group_symop_operation_xyz
'x,y,z'
loop_
_atom_site_label
_atom_site_type_symbol
_atom_site_fract_x
_atom_site_fract_y
_atom_site_fract_z
N1 N 0.0000 0.0000 0.5000
Os1 Os 0.5000 0.5000 0.5000
Se1 Se 0.0000 0.5000 0.0000
Se2 Se 0.5000 0.0000 0.0000
Cl1 Cl 0.0000 0.0000 0.0000

=====

No. 4
# K12Se3Cl5 PBE relaxed
# - Size of the total moment: 0.00 Bohr magnetons per cell
# - ΔE_f (raw): -1.383 eV per atom
data_K12Se3Cl5
_cell_length_a 16.2266
_cell_length_b 16.2266
_cell_length_c 16.2266
_cell_angle_alpha 109.47
_cell_angle_beta 109.47
_cell_angle_gamma 109.47
_space_group_name_H-M_alt 'P 1'
_space_group_IT_number 1
loop_
_space_group_symop_operation_xyz
'x,y,z'
loop_
_atom_site_label
_atom_site_type_symbol
_atom_site_fract_x
_atom_site_fract_y
_atom_site_fract_z
Se1 Se 0.7500 0.3750 0.1250
Se2 Se 0.8750 0.7500 0.1250
Se3 Se 0.3750 0.7500 0.6250
Se4 Se 0.2500 0.1250 0.3750
Se5 Se 0.8750 0.1250 0.2500
Se6 Se 0.3750 0.6250 0.2500
Se7 Se 0.6250 0.3750 0.7500
Se8 Se 0.1250 0.8750 0.7500
Se9 Se 0.7500 0.8750 0.6250
Se10 Se 0.6250 0.2500 0.3750
Se11 Se 0.1250 0.2500 0.8750
Se12 Se 0.2500 0.6250 0.8750
Cl1 Cl 0.1250 0.3750 0.2500
Cl2 Cl 0.0000 0.5000 0.0000
Cl3 Cl 0.0000 0.0000 0.0000
Cl4 Cl 0.3750 0.2500 0.1250
Cl5 Cl 0.5000 0.0000 0.5000
Cl6 Cl 0.5000 0.5000 0.0000
Cl7 Cl 0.1250 0.7500 0.3750
Cl8 Cl 0.7500 0.1250 0.8750
Cl9 Cl 0.7500 0.6250 0.3750
Cl10 Cl 0.3750 0.1250 0.7500
Cl11 Cl 0.6250 0.8750 0.2500
Cl12 Cl 0.5000 0.5000 0.5000
Cl13 Cl 0.5000 0.0000 0.0000
Cl14 Cl 0.0000 0.0000 0.5000
Cl15 Cl 0.2500 0.3750 0.6250
Cl16 Cl 0.2500 0.8750 0.1250
Cl17 Cl 0.0000 0.5000 0.5000
Cl18 Cl 0.8750 0.2500 0.6250
Cl19 Cl 0.6250 0.7500 0.8750
Cl20 Cl 0.8750 0.6250 0.7500
K1 K 0.7239 0.1372 0.0507
K2 K 0.3268 0.5507 0.4134
K3 K 0.9493 0.3628 0.2761
K4 K 0.5507 0.2239 0.1372
K5 K 0.5866 0.7239 0.6732
K6 K 0.9493 0.5866 0.1732
K7 K 0.3268 0.7761 0.4134
K8 K 0.0866 0.9134 0.1372
K9 K 0.5866 0.9493 0.6732
K10 K 0.7239 0.5866 0.1732
K11 K 0.7761 0.4493 0.3628
K12 K 0.8268 0.9134 0.0507
K13 K 0.1372 0.7239 0.5507
K14 K 0.3628 0.4134 0.0866
K15 K 0.0866 0.9134 0.3628
K16 K 0.4134 0.1372 0.5866
K17 K 0.0866 0.1732 0.2239
K18 K 0.4493 0.6732 0.0866
K19 K 0.8268 0.9134 0.2761
K20 K 0.1372 0.4134 0.0866
K21 K 0.3628 0.9493 0.7761
K22 K 0.5866 0.6372 0.4134
K23 K 0.9134 0.8268 0.5507
K24 K 0.7761 0.3268 0.9134
K25 K 0.4134 0.3628 0.5866
K26 K 0.0866 0.1732 0.4493
K27 K 0.2239 0.6732 0.0866
K28 K 0.1732 0.0866 0.7239
K29 K 0.6372 0.0507 0.2239
K30 K 0.8628 0.5866 0.9134
K31 K 0.5507 0.3268 0.9134
K32 K 0.5866 0.8628 0.4134
K33 K 0.9134 0.8268 0.7761
K34 K 0.9134 0.0866 0.6372
K35 K 0.8628 0.2761 0.4493
K36 K 0.1732 0.0866 0.9493
K37 K 0.6372 0.5866 0.9134
K38 K 0.4134 0.0507 0.3268
K39 K 0.2761 0.4134 0.8268
K40 K 0.2239 0.5507 0.6372
K41 K 0.9134 0.0866 0.8628
K42 K 0.6732 0.2239 0.5866
K43 K 0.4493 0.7761 0.8628
K44 K 0.0507 0.4134 0.8268
K45 K 0.4134 0.2761 0.3268
K46 K 0.0507 0.6372 0.7239
K47 K 0.6732 0.4493 0.5866
K48 K 0.2761 0.8628 0.9493

=====

No. 5
# Sm4Er5Cd PBE relaxed
# - Size of the total moment: 0.00 Bohr magnetons per cell
# - Formation enthalpy at 0 K: 0.117 eV/atom
data_Sm4Er5Cd
_cell_length_a 5.7008
_cell_length_b 8.0623
_cell_length_c 8.0623
_cell_angle_alpha 82.82
_cell_angle_beta 69.30
_cell_angle_gamma 69.30
_space_group_name_H-M_alt 'P 1'
_space_group_IT_number 1
loop_
_space_group_symop_operation_xyz
'x,y,z'
loop_
_atom_site_label
_atom_site_type_symbol
_atom_site_fract_x
_atom_site_fract_y
_atom_site_fract_z
Sm1 Sm 0.4636 0.3180 0.6819
Sm2 Sm 0.7816 0.6819 0.6820
Sm3 Sm 0.1456 0.3181 0.3180
Sm4 Sm 0.4635 0.6820 0.3181
Er1 Er 0.7716 0.3677 0.0001
Er2 Er 0.1393 0.0001 0.6323
Er3 Er 0.7717 0.9999 0.3677
Er4 Er 0.1394 0.6323 0.9999
Er5 Er 0.6582 0.0000 0.0000
Cd1 Cd 0.1758 0.0000 0.0000

=====

No. 6
# PmNiSn2Pt4 PBE relaxed
# - Size of the total moment: 0.00 Bohr magnetons per cell
# - Formation enthalpy at 0 K: -0.590 eV/atom
data_PmNiSn2Pt4
_cell_length_a 4.4712
_cell_length_b 4.4712
_cell_length_c 9.1208
_cell_angle_alpha 75.81
_cell_angle_beta 75.81
_cell_angle_gamma 60.00
_space_group_name_H-M_alt 'P 1'
_space_group_IT_number 1
loop_
_space_group_symop_operation_xyz
'x,y,z'
loop_
_atom_site_label
_atom_site_type_symbol
_atom_site_fract_x
_atom_site_fract_y
_atom_site_fract_z
Pm1 Pm 0.0000 0.0000 0.0000
Ni1 Ni 0.5000 0.5000 0.5000
Sn1 Sn 0.7604 0.7604 0.7188
Sn2 Sn 0.2396 0.2396 0.2812
Pt1 Pt 0.4007 0.4007 0.7978
Pt2 Pt 0.8655 0.8655 0.4034
Pt3 Pt 0.1345 0.1345 0.5966
Pt4 Pt 0.5993 0.5993 0.2022

=====

No. 7
# Eu2ZrHg PBE relaxed
# - Size of the total moment: 15.29 Bohr magnetons per cell
# - Formation enthalpy at 0 K: 0.258 eV/atom
data_Eu2ZrHg
_cell_length_a 3.3937
_cell_length_b 3.3937
_cell_length_c 11.9345
_cell_angle_alpha 81.83
_cell_angle_beta 81.83
_cell_angle_gamma 60.00
_space_group_name_H-M_alt 'P 1'
_space_group_IT_number 1
loop_
_space_group_symop_operation_xyz
'x,y,z'
loop_
_atom_site_label
_atom_site_type_symbol
_atom_site_fract_x
_atom_site_fract_y
_atom_site_fract_z
Eu1 Eu 0.0902 0.0902 0.7295
Eu2 Eu 0.9098 0.9098 0.2705
Hg1 Hg 0.5000 0.5000 0.5000
Zr1 Zr 0.0000 0.0000 0.0000